Entry 1:
Material: Nb8OsW2
Method: DFT, PBE
State: relaxed

Unit cell a=7.6365 b=7.6365 c=5.3180 alpha=102.05 beta=102.05 gamma=40.72
Fractional positions:
Nb 0.0009 0.0009 0.2432
Nb 0.0826 0.5866 0.4161
Nb 0.3956 0.3956 0.9455
Nb 0.4134 0.9174 0.5839
Nb 0.5866 0.0826 0.4161
Nb 0.6044 0.6044 0.0545
Nb 0.9174 0.4134 0.5839
Nb 0.9991 0.9991 0.7568
Os 0.5000 0.5000 0.5000
W 0.1933 0.1933 0.0655
W 0.8067 0.8067 0.9345

space group = C2/m (12)



Entry 2:
Material: Nb2OsW
Method: DFT, PBE
State: relaxed

Unit cell a=5.9598 b=5.9598 c=5.9598 alpha=152.27 beta=132.89 gamma=55.55
Fractional positions:
Nb 0.2355 0.2355 0.0000
Nb 0.7645 0.7645 0.0000
Os 0.0000 0.0000 0.0000
W 0.5000 0.5000 0.0000

space group = Immm (71)



no.,ρ (kg/m3),total moment (μB/cell),formation enthalpy at 0 K (eV per atom)
1,10954,0.00,0.1105
2,12958,0.00,0.7408